{"formula": "NaHg2SbSe4", "functional": "PBE-GGA", "state": "optimized geometry", "lattice": [[8.718, 0.000, 0.000], [0.000, 9.100, 0.000], [0.000, 0.000, 6.514]], "species": ["Na", "Na", "Hg", "Hg", "Hg", "Hg", "Sb", "Sb", "Se", "Se", "Se", "Se", "Se", "Se", "Se", "Se"], "fractional_positions": [[0.000, 0.135, 0.000], [0.500, 0.865, 0.500], [0.221, 0.342, 0.470], [0.279, 0.658, 0.970], [0.721, 0.658, 0.970], [0.779, 0.342, 0.470], [0.000, 0.790, 0.476], [0.500, 0.210, 0.976], [0.000, 0.153, 0.526], [0.000, 0.794, 0.071], [0.248, 0.633, 0.536], [0.252, 0.367, 0.036], [0.500, 0.206, 0.571], [0.500, 0.847, 0.026], [0.748, 0.367, 0.036], [0.752, 0.633, 0.536]], "e_tot_ev_per_atom": -2.854, "formation_energy_uncorrected_kj_per_mol_atoms": -34.4, "crystal_system": "orthorhombic"}